Below is a relaxed structure of Hf2InCuH, with properties calculated at the GGA-PBE level.

Results
total energy: -30.846 eV per formula unit
density of states at the Fermi level: 1.926 states/eV/cell

Cell lengths 4.3214, 4.3214, 4.2061 Å; angles 90.00, 90.00, 90.00 degrees
Fractional positions:
H (0.0000, 0.0000, 0.0000)
Hf (0.0000, 0.5000, 0.0000)
Hf (0.5000, 0.0000, 0.0000)
Cu (0.0000, 0.0000, 0.5000)
In (0.5000, 0.5000, 0.5000)

***

Below is a relaxed structure of Hf2In2CuH, with properties calculated at the GGA-PBE level.

Results
total energy: -33.270 eV per formula unit
density of states at the Fermi level: 6.988 states/eV/cell

Cell lengths 6.6690, 5.5940, 7.3974 Å; angles 112.22, 116.79, 90.00 degrees
Fractional positions:
Hf (0.7572, 0.0739, 0.1478)
Hf (0.3907, 0.5739, 0.1478)
Hf (0.6093, 0.4261, 0.8522)
Hf (0.2428, 0.9261, 0.8522)
In (0.3825, 0.1746, 0.3492)
In (0.6175, 0.8254, 0.6508)
In (0.0333, 0.3254, 0.6508)
In (0.9667, 0.6746, 0.3492)
Cu (0.0000, 0.7500, 0.0000)
Cu (0.0000, 0.2500, 0.0000)
H (0.5000, 0.7500, 0.0000)
H (0.5000, 0.2500, 0.0000)

***

Below is a relaxed structure of HfCuH8Ir2, with properties calculated at the GGA-PBE level.

Results
total energy: -58.403 eV per formula unit
density of states at the Fermi level: 3.386 states/eV/cell

Cell lengths 4.1563, 4.6961, 6.0428 Å; angles 61.45, 69.89, 63.73 degrees
Fractional positions:
Hf (0.5000, 0.5000, 0.5000)
Cu (0.0000, 0.0000, 0.0000)
H (0.9039, 0.5648, 0.6273)
H (0.7200, 0.4146, 0.1454)
H (0.0961, 0.4352, 0.3727)
H (0.2800, 0.5854, 0.8546)
H (0.6301, 0.9586, 0.3182)
H (0.3699, 0.0414, 0.6818)
H (0.0930, 0.9586, 0.3182)
H (0.9070, 0.0414, 0.6818)
Ir (0.2990, 0.2497, 0.1523)
Ir (0.7010, 0.7503, 0.8477)

***

Below is a relaxed structure of Hf2CuHIr, with properties calculated at the GGA-PBE level.

Results
total energy: -38.540 eV per formula unit
density of states at the Fermi level: 2.499 states/eV/cell
energy relative to the lowest polymorph listed for this composition: 0 meV per atom

Cell lengths 4.4943, 4.4943, 3.5048 Å; angles 90.00, 90.00, 90.00 degrees
Fractional positions:
H (0.0000, 0.0000, 0.0000)
Ir (0.5000, 0.5000, 0.5000)
Hf (0.0000, 0.5000, 0.0000)
Hf (0.5000, 0.0000, 0.0000)
Cu (0.0000, 0.0000, 0.5000)

***

Below is a relaxed structure of Hf2CuHIr, with properties calculated at the GGA-PBE level.

Results
total energy: -38.102 eV per formula unit
density of states at the Fermi level: 5.659 states/eV/cell
energy relative to the lowest polymorph listed for this composition: 87 meV per atom

Cell lengths 4.4339, 4.4339, 3.6744 Å; angles 90.00, 90.00, 90.00 degrees
Fractional positions:
H (0.0000, 0.0000, 0.0000)
Ir (0.0000, 0.0000, 0.5000)
Hf (0.0000, 0.5000, 0.0000)
Hf (0.5000, 0.0000, 0.0000)
Cu (0.5000, 0.5000, 0.5000)

***

Below is a relaxed structure of HfCuHIr2, with properties calculated at the GGA-PBE level.

Results
total energy: -37.380 eV per formula unit
density of states at the Fermi level: 0.632 states/eV/cell

Cell lengths 4.0920, 4.0920, 3.7715 Å; angles 90.00, 90.00, 90.00 degrees
Fractional positions:
H (0.0000, 0.0000, 0.0000)
Ir (0.0000, 0.5000, 0.0000)
Ir (0.5000, 0.0000, 0.0000)
Hf (0.5000, 0.5000, 0.5000)
Cu (0.0000, 0.0000, 0.5000)

***

Below is a relaxed structure of HfMn2CuH, with properties calculated at the GGA-PBE level.

Results
total energy: -35.812 eV per formula unit
density of states at the Fermi level: 3.781 states/eV/cell
energy relative to the lowest polymorph listed for this composition: 0 meV per atom

Cell lengths 3.8288, 3.8288, 4.0752 Å; angles 90.00, 90.00, 90.00 degrees
Last column: magnetic moment on the atom in μB.
Fractional positions:
H (0.0000, 0.0000, 0.0000)  -0.01
Mn (0.0000, 0.5000, 0.0000)  2.37
Mn (0.5000, 0.0000, 0.0000)  2.37
Hf (0.0000, 0.0000, 0.5000)  -0.39
Cu (0.5000, 0.5000, 0.5000)  -0.01

***

Below is a relaxed structure of HfMn2CuH, with properties calculated at the GGA-PBE level.

Results
total energy: -35.650 eV per formula unit
density of states at the Fermi level: 3.334 states/eV/cell
energy relative to the lowest polymorph listed for this composition: 32 meV per atom

Cell lengths 3.9241, 3.9241, 3.7820 Å; angles 90.00, 90.00, 90.00 degrees
Last column: magnetic moment on the atom in μB.
Fractional positions:
H (0.0000, 0.0000, 0.0000)  -0.03
Mn (0.0000, 0.5000, 0.0000)  2.19
Mn (0.5000, 0.0000, 0.0000)  2.19
Hf (0.5000, 0.5000, 0.5000)  -0.42
Cu (0.0000, 0.0000, 0.5000)  -0.03

***

Below is a relaxed structure of Hf2MnCuH, with properties calculated at the GGA-PBE level.

Results
total energy: -37.356 eV per formula unit
density of states at the Fermi level: 3.097 states/eV/cell

Cell lengths 4.4857, 4.4857, 3.3684 Å; angles 90.00, 90.00, 90.00 degrees
Last column: magnetic moment on the atom in μB.
Fractional positions:
H (0.0000, 0.0000, 0.0000)  0.00
Mn (0.0000, 0.0000, 0.5000)  0.50
Hf (0.0000, 0.5000, 0.0000)  -0.10
Hf (0.5000, 0.0000, 0.0000)  -0.10
Cu (0.5000, 0.5000, 0.5000)  -0.01

***

Below is a relaxed structure of Hf2CuMoH, with properties calculated at the GGA-PBE level.

Results
total energy: -38.856 eV per formula unit
density of states at the Fermi level: 1.341 states/eV/cell

Cell lengths 4.5651, 4.5651, 3.5385 Å; angles 90.00, 90.00, 90.00 degrees
Fractional positions:
H (0.0000, 0.0000, 0.0000)
Mo (0.0000, 0.0000, 0.5000)
Hf (0.0000, 0.5000, 0.0000)
Hf (0.5000, 0.0000, 0.0000)
Cu (0.5000, 0.5000, 0.5000)

***

Below is a relaxed structure of Hf2NbCuH, with properties calculated at the GGA-PBE level.

Results
total energy: -37.814 eV per formula unit
density of states at the Fermi level: 3.720 states/eV/cell
energy relative to the lowest polymorph listed for this composition: 0 meV per atom

Cell lengths 4.5064, 4.5064, 3.6898 Å; angles 90.00, 90.00, 90.00 degrees
Fractional positions:
H (0.0000, 0.0000, 0.0000)
Nb (0.5000, 0.5000, 0.5000)
Hf (0.0000, 0.5000, 0.0000)
Hf (0.5000, 0.0000, 0.0000)
Cu (0.0000, 0.0000, 0.5000)

***

Below is a relaxed structure of Hf2NbCuH, with properties calculated at the GGA-PBE level.

Results
total energy: -37.751 eV per formula unit
density of states at the Fermi level: 4.654 states/eV/cell
energy relative to the lowest polymorph listed for this composition: 13 meV per atom

Cell lengths 4.4984, 4.4984, 3.7897 Å; angles 90.00, 90.00, 90.00 degrees
Fractional positions:
H (0.0000, 0.0000, 0.0000)
Nb (0.0000, 0.0000, 0.5000)
Hf (0.0000, 0.5000, 0.0000)
Hf (0.5000, 0.0000, 0.0000)
Cu (0.5000, 0.5000, 0.5000)

***

Below is a relaxed structure of Hf2CuNiH, with properties calculated at the GGA-PBE level.

Results
total energy: -34.295 eV per formula unit
density of states at the Fermi level: 2.828 states/eV/cell
energy relative to the lowest polymorph listed for this composition: 27 meV per atom

Cell lengths 4.3826, 4.3826, 3.5278 Å; angles 90.00, 90.00, 90.00 degrees
Fractional positions:
Ni (0.5000, 0.5000, 0.5000)
Hf (0.0000, 0.5000, 0.0000)
Hf (0.5000, 0.0000, 0.0000)
Cu (0.0000, 0.0000, 0.5000)
H (0.0000, 0.0000, 0.0000)

***

Below is a relaxed structure of Hf2CuNiH, with properties calculated at the GGA-PBE level.

Results
total energy: -34.431 eV per formula unit
density of states at the Fermi level: 5.204 states/eV/cell
energy relative to the lowest polymorph listed for this composition: 0 meV per atom

Cell lengths 4.4885, 4.4885, 3.3796 Å; angles 90.00, 90.00, 90.00 degrees
Fractional positions:
Ni (0.0000, 0.0000, 0.5000)
Hf (0.0000, 0.5000, 0.0000)
Hf (0.5000, 0.0000, 0.0000)
Cu (0.5000, 0.5000, 0.5000)
H (0.0000, 0.0000, 0.0000)

***

Below is a relaxed structure of HfCuPH, with properties calculated at the GGA-PBE level.

Results
total energy: -24.947 eV per formula unit
density of states at the Fermi level: 1.809 states/eV/cell

Cell lengths 3.4684, 3.4684, 8.0685 Å; angles 90.00, 90.00, 90.00 degrees
Fractional positions:
Hf (0.5000, 0.0000, 0.6653)
Hf (0.0000, 0.5000, 0.3347)
Cu (0.5000, 0.5000, 0.0000)
Cu (0.0000, 0.0000, 0.0000)
P (0.0000, 0.5000, 0.7863)
P (0.5000, 0.0000, 0.2137)
H (0.0000, 0.0000, 0.5000)
H (0.5000, 0.5000, 0.5000)

***

Below is a relaxed structure of Hf2CuHPt, with properties calculated at the GGA-PBE level.

Results
total energy: -35.895 eV per formula unit
density of states at the Fermi level: 3.963 states/eV/cell
energy relative to the lowest polymorph listed for this composition: 0 meV per atom

Cell lengths 4.4111, 4.4111, 3.7073 Å; angles 90.00, 90.00, 90.00 degrees
Fractional positions:
H (0.0000, 0.0000, 0.0000)
Hf (0.0000, 0.5000, 0.0000)
Hf (0.5000, 0.0000, 0.0000)
Cu (0.0000, 0.0000, 0.5000)
Pt (0.5000, 0.5000, 0.5000)

***

Below is a relaxed structure of Hf2CuHPt, with properties calculated at the GGA-PBE level.

Results
total energy: -35.370 eV per formula unit
density of states at the Fermi level: 4.364 states/eV/cell
energy relative to the lowest polymorph listed for this composition: 105 meV per atom

Cell lengths 4.4369, 3.7380, 4.4369 Å; angles 90.00, 90.00, 90.00 degrees
Fractional positions:
H (0.0000, 0.0000, 0.0000)
Hf (0.0000, 0.0000, 0.5000)
Hf (0.5000, 0.0000, 0.0000)
Cu (0.5000, 0.5000, 0.5000)
Pt (0.0000, 0.5000, 0.0000)

***

Below is a relaxed structure of HfCu2HRh, with properties calculated at the GGA-PBE level.

Results
total energy: -30.205 eV per formula unit
density of states at the Fermi level: 1.733 states/eV/cell

Cell lengths 3.8187, 3.8187, 4.2089 Å; angles 90.00, 90.00, 90.00 degrees
Fractional positions:
Rh (0.5000, 0.5000, 0.5000)
Hf (0.0000, 0.0000, 0.5000)
Cu (0.0000, 0.5000, 0.0000)
Cu (0.5000, 0.0000, 0.0000)
H (0.0000, 0.0000, 0.0000)

***

Below is a relaxed structure of HfCuHRu2, with properties calculated at the GGA-PBE level.

Results
total energy: -36.903 eV per formula unit
density of states at the Fermi level: 3.676 states/eV/cell
energy relative to the lowest polymorph listed for this composition: 47 meV per atom

Cell lengths 3.9286, 4.0511, 3.9286 Å; angles 90.00, 90.00, 90.00 degrees
Fractional positions:
Ru (0.0000, 0.0000, 0.5000)
Ru (0.5000, 0.0000, 0.0000)
Hf (0.0000, 0.5000, 0.0000)
Cu (0.5000, 0.5000, 0.5000)
H (0.0000, 0.0000, 0.0000)

***

Below is a relaxed structure of HfCuHRu2, with properties calculated at the GGA-PBE level.

Results
total energy: -37.136 eV per formula unit
density of states at the Fermi level: 3.698 states/eV/cell
energy relative to the lowest polymorph listed for this composition: 0 meV per atom

Cell lengths 4.0395, 4.0395, 3.7865 Å; angles 90.00, 90.00, 90.00 degrees
Fractional positions:
Ru (0.0000, 0.5000, 0.0000)
Ru (0.5000, 0.0000, 0.0000)
Hf (0.5000, 0.5000, 0.5000)
Cu (0.0000, 0.0000, 0.5000)
H (0.0000, 0.0000, 0.0000)

***

Below is a relaxed structure of HfCu2SbH, with properties calculated at the GGA-PBE level.

Results
total energy: -26.118 eV per formula unit
density of states at the Fermi level: 1.478 states/eV/cell

Cell lengths 4.1211, 4.1310, 4.1211 Å; angles 90.00, 90.00, 90.00 degrees
Fractional positions:
Sb (0.5000, 0.5000, 0.5000)
Hf (0.0000, 0.5000, 0.0000)
Cu (0.0000, 0.0000, 0.5000)
Cu (0.5000, 0.0000, 0.0000)
H (0.0000, 0.0000, 0.0000)

***

Below is a relaxed structure of HfSc2CuH, with properties calculated at the GGA-PBE level.

Results
total energy: -30.353 eV per formula unit
density of states at the Fermi level: 8.652 states/eV/cell

Cell lengths 4.3616, 4.3616, 4.3044 Å; angles 90.00, 90.00, 90.00 degrees
Fractional positions:
Sc (0.0000, 0.5000, 0.0000)
Sc (0.5000, 0.0000, 0.0000)
H (0.0000, 0.0000, 0.0000)
Hf (0.0000, 0.0000, 0.5000)
Cu (0.5000, 0.5000, 0.5000)

***

Below is a relaxed structure of HfCu2HSe, with properties calculated at the GGA-PBE level.

Results
total energy: -25.213 eV per formula unit
density of states at the Fermi level: 2.113 states/eV/cell

Cell lengths 3.6558, 5.3380, 3.6558 Å; angles 90.00, 90.00, 90.00 degrees
Fractional positions:
H (0.0000, 0.0000, 0.0000)
Hf (0.5000, 0.5000, 0.5000)
Cu (0.0000, 0.0000, 0.5000)
Cu (0.5000, 0.0000, 0.0000)
Se (0.0000, 0.5000, 0.0000)

***

Below is a relaxed structure of HfCuSiH, with properties calculated at the GGA-PBE level.

Results
total energy: -24.686 eV per formula unit
density of states at the Fermi level: 1.300 states/eV/cell

Cell lengths 3.7604, 3.7604, 6.7094 Å; angles 90.00, 90.00, 90.00 degrees
Fractional positions:
Hf (0.5000, 0.0000, 0.6464)
Hf (0.0000, 0.5000, 0.3536)
Cu (0.5000, 0.5000, 0.0000)
Cu (0.0000, 0.0000, 0.0000)
Si (0.0000, 0.5000, 0.7810)
Si (0.5000, 0.0000, 0.2190)
H (0.0000, 0.0000, 0.5000)
H (0.5000, 0.5000, 0.5000)

***

Below is a relaxed structure of Sr2HfCuH, with properties calculated at the GGA-PBE level.

Results
total energy: -19.068 eV per formula unit
density of states at the Fermi level: 5.475 states/eV/cell

Cell lengths 5.6727, 3.9156, 5.6727 Å; angles 90.00, 90.00, 90.00 degrees
Fractional positions:
Sr (0.0000, 0.0000, 0.5000)
Sr (0.5000, 0.0000, 0.0000)
Hf (0.0000, 0.5000, 0.0000)
Cu (0.5000, 0.5000, 0.5000)
H (0.0000, 0.0000, 0.0000)

***

Below is a relaxed structure of HfTa2CuH, with properties calculated at the GGA-PBE level.

Results
total energy: -40.933 eV per formula unit
density of states at the Fermi level: 3.972 states/eV/cell

Cell lengths 4.0402, 4.0402, 4.4833 Å; angles 90.00, 90.00, 90.00 degrees
Fractional positions:
H (0.0000, 0.0000, 0.0000)
Hf (0.0000, 0.0000, 0.5000)
Cu (0.5000, 0.5000, 0.5000)
Ta (0.0000, 0.5000, 0.0000)
Ta (0.5000, 0.0000, 0.0000)

***

Below is a relaxed structure of Hf2CuTcH, with properties calculated at the GGA-PBE level.

Results
total energy: -38.973 eV per formula unit
density of states at the Fermi level: 2.011 states/eV/cell
energy relative to the lowest polymorph listed for this composition: 61 meV per atom

Cell lengths 4.4745, 4.4745, 3.5980 Å; angles 90.00, 90.00, 90.00 degrees
Fractional positions:
H (0.0000, 0.0000, 0.0000)
Hf (0.0000, 0.5000, 0.0000)
Hf (0.5000, 0.0000, 0.0000)
Tc (0.0000, 0.0000, 0.5000)
Cu (0.5000, 0.5000, 0.5000)

***

Below is a relaxed structure of Hf2CuTcH, with properties calculated at the GGA-PBE level.

Results
total energy: -39.276 eV per formula unit
density of states at the Fermi level: 2.031 states/eV/cell
energy relative to the lowest polymorph listed for this composition: 0 meV per atom

Cell lengths 4.5413, 4.5413, 3.4327 Å; angles 90.00, 90.00, 90.00 degrees
Fractional positions:
H (0.0000, 0.0000, 0.0000)
Hf (0.0000, 0.5000, 0.0000)
Hf (0.5000, 0.0000, 0.0000)
Tc (0.5000, 0.5000, 0.5000)
Cu (0.0000, 0.0000, 0.5000)